4
Lattice="4.957 0.000 0.000 2.479 4.293 0.000 2.479 1.431 4.047" Properties=species:S:1:pos:R:3 comment="PBE-GGA NaAlInGa, optimized geometry" total_energy_ev_per_atom=-2.67 sg="No. 216" pbc="T T T"
Al 7.436 4.293 3.036
Na 2.479 1.431 1.012
Ga 0.000 0.000 0.000
In 4.957 2.862 2.024